VASP calculation (GGA-PBE) on a geometry-optimized V3CdAs structure.

abc: 4.580 4.580 4.580
angles: 90.00 90.00 90.00
Space group Pm-3m (No. 221)
Symmetry-distinct sites (fractional):
V: 0.000 0.000 0.500 (multiplicity 3)
Cd: 0.500 0.500 0.500 (multiplicity 1)
As: 0.000 0.000 0.000 (multiplicity 1)

Its formation enthalpy at 0 K is 0.59 eV/atom. The density is 5.88 g/cm3. The calculation puts the uncorrected energy at -5.99 eV/atom. For the energy above the lowest structure with this stoichiometry, the calculation gives 0 meV per atom.


VASP calculation (GGA-PBE) on a geometry-optimized VCd3As structure.

abc: 5.301 5.301 5.301
angles: 90.00 90.00 90.00
Space group Pm-3m (No. 221)
Symmetry-distinct sites (fractional):
V: 0.000 0.000 0.000 (multiplicity 1)
Cd: 0.000 0.000 0.500 (multiplicity 3)
As: 0.500 0.500 0.500 (multiplicity 1)

Its formation enthalpy at 0 K is 1.00 eV/atom. The density is 5.16 g/cm3. The calculation puts the uncorrected energy at -2.30 eV/atom. For the energy above the lowest structure with this stoichiometry, the calculation gives 115 meV per atom.


VASP calculation (GGA-PBE) on a geometry-optimized CdAs2W structure.

abc: 6.660 6.660 6.660
angles: 90.00 90.00 90.00
Space group F-43m (No. 216)
Symmetry-distinct sites (fractional):
Cd: 0.000 0.000 0.000 (multiplicity 4)
As: 0.000 0.000 0.500 (multiplicity 4)
As: 0.250 0.250 0.250 (multiplicity 4)
W: 0.250 0.250 0.750 (multiplicity 4)

Its formation enthalpy at 0 K is 0.93 eV/atom. The density is 10.03 g/cm3. The calculation puts the uncorrected energy at -4.86 eV/atom.


VASP calculation (GGA-PBE) on a geometry-optimized CdAs2W structure.

abc: 6.053 6.053 11.509
angles: 90.00 90.00 90.00
Space group I-42d (No. 122)
Symmetry-distinct sites (fractional):
Cd: 0.000 0.000 0.000 (multiplicity 4)
As: 0.210 0.250 0.625 (multiplicity 8)
W: 0.000 0.000 0.500 (multiplicity 4)

Its formation enthalpy at 0 K is 0.43 eV/atom. The density is 7.03 g/cm3. The calculation puts the uncorrected energy at -5.36 eV/atom.